[1]
A relaxed structure of TaMnTe2N, computed with PBE.

Computed properties:
Its total magnetization is 2.8 μB per formula unit. The raw formation energy is 0.512 eV per atom. The energy above the most stable polymorph in this dataset comes out at 0.237 eV per atom. For the density of states at the Fermi level, the calculation gives 0.920 states/eV per atom.

abc: 5.2493 5.2493 3.4586
angles: 90.00 90.00 90.00
Last column: nearest neighbours and their distance in Å.
Space group P4/mmm (No. 123)
Inequivalent atoms, fractional coordinates:
Ta  0.0000  0.0000  0.0000  8 Te 3.14, 2 Ta 3.46
Mn  0.5000  0.5000  0.5000  2 N 1.73
Te  0.0000  0.5000  0.5000  2 Mn 2.62
N  0.5000  0.5000  0.0000  2 Mn 1.73


[2]
A relaxed structure of Th2TaMnN5, computed with PBE.

Computed properties:
Its total magnetization is 0.8 μB per formula unit. The raw formation energy is -1.164 eV per atom. For the density of states at the Fermi level, the calculation gives 0.329 states/eV per atom.

abc: 3.3426 13.7952 10.1148
angles: 90.00 90.00 90.00
Last column: nearest neighbours and their distance in Å.
Space group Cmc2_1 (No. 36)
Inequivalent atoms, fractional coordinates:
Th  0.0000  0.1193  0.0000  8 N 2.48-2.65
Th  0.0000  0.1342  0.6325  7 N 2.52-2.57
Ta  0.0000  0.1945  0.3254  6 N 2.06-2.23
Mn  0.0000  0.4484  0.7663  4 N 1.83-2.00
N  0.0000  0.0344  0.3449  2 Mn 1.87
N  0.0000  0.2980  0.9703  2 Ta 2.23, 1 Th 2.48
N  0.0000  0.3164  0.6835  1 Mn 2.00, 2 Ta 2.21
N  0.0000  0.3439  0.3182  1 Ta 2.06
N  0.0000  0.5003  0.0991  1 Mn 1.83


[3]
A relaxed structure of Tb2MnN4, computed with PBE.

Computed properties:
Its total magnetization is 1.0 μB per formula unit. The raw formation energy is -0.930 eV per atom. For the density of states at the Fermi level, the calculation gives 0.414 states/eV per atom.

abc: 5.5471 5.3831 6.6411
angles: 90.00 108.04 90.00
Last column: nearest neighbours and their distance in Å.
Space group P2_1/m (No. 11)
Inequivalent atoms, fractional coordinates:
Tb  0.2014  0.2500  0.0420  6 N 2.36-2.55
Tb  0.2673  0.2500  0.5639  6 N 2.42-2.55
Mn  0.2489  0.7500  0.8033  4 N 1.70-1.75
N  0.0287  0.5065  0.7442  1 Mn 1.75
N  0.4136  0.7500  0.0661  1 Mn 1.70
N  0.4411  0.7500  0.6423  1 Mn 1.73


[4]
A relaxed structure of TbMnN, computed with PBE.

Computed properties:
Its total magnetization is 0.0 μB per formula unit. The raw formation energy is -0.329 eV per atom. For the density of states at the Fermi level, the calculation gives 0.711 states/eV per atom.

abc: 2.8475 18.7586 3.3154
angles: 90.00 90.00 90.00
Last column: nearest neighbours and their distance in Å.
Space group Cmcm (No. 63)
Inequivalent atoms, fractional coordinates:
Tb  0.0000  0.0919  0.2500  4 N 2.40
Mn  0.0000  0.2164  0.7500  2 N 1.96
N  0.0000  0.3557  0.2500  2 Mn 1.96


[5]
A relaxed structure of Tb3Mn5N12, computed with PBE.

Computed properties:
Its total magnetization is 5.7 μB per formula unit. The raw formation energy is -0.488 eV per atom. For the density of states at the Fermi level, the calculation gives 0.392 states/eV per atom.

abc: 12.2304 12.2304 12.2304
angles: 90.00 90.00 90.00
Last column: nearest neighbours and their distance in Å.
Space group Ia-3d (No. 230)
Inequivalent atoms, fractional coordinates:
Tb  0.0000  0.2500  0.1250  8 N 2.40-2.53
Mn  0.0000  0.0000  0.0000  6 N 1.98
Mn  0.0000  0.2500  0.3750  4 N 1.73
N  0.0373  0.0478  0.6504  1 Mn 1.73


[6]
A relaxed structure of TbTh2MnN4, computed with PBE.

Computed properties:
Its total magnetization is 4.0 μB per formula unit. The raw formation energy is -1.137 eV per atom. For the density of states at the Fermi level, the calculation gives 0.300 states/eV per atom.

abc: 3.5539 11.7167 12.0718
angles: 90.00 90.00 90.00
Last column: nearest neighbours and their distance in Å.
Space group Cmcm (No. 63)
Inequivalent atoms, fractional coordinates:
Tb  0.0000  0.1010  0.2500  6 N 2.49-2.77
Th  0.0000  0.3690  0.0564  6 N 2.44-2.57
Mn  0.0000  0.1674  0.7500  2 N 1.96
N  0.0000  0.0000  0.0000  4 Th 2.44
N  0.0000  0.2731  0.6238  1 Mn 1.96
N  0.0000  0.4519  0.2500  2 Mn 2.26, 2 Tb 2.49, 2 Th 2.53


[7]
A relaxed structure of Tb2ThMnN4, computed with PBE.

Computed properties:
Its total magnetization is 3.6 μB per formula unit. The raw formation energy is -1.238 eV per atom. For the density of states at the Fermi level, the calculation gives 0.449 states/eV per atom.

abc: 3.4248 11.5151 11.7461
angles: 90.00 90.00 90.00
Last column: nearest neighbours and their distance in Å.
Space group Cmcm (No. 63)
Inequivalent atoms, fractional coordinates:
Tb  0.0000  0.1304  0.0479  6 N 2.35-2.57
Th  0.0000  0.3957  0.2500  6 N 2.55-2.62
Mn  0.0000  0.3395  0.7500  4 N 1.92-2.07
N  0.0000  0.0597  0.2500  2 Mn 2.07
N  0.0000  0.2258  0.6301  1 Mn 1.92
N  0.0000  0.5000  0.0000  4 Tb 2.35


[8]
A relaxed structure of TbTm2MnN4, computed with PBE.

Computed properties:
Its total magnetization is 0.0 μB per formula unit. The raw formation energy is -1.259 eV per atom. For the density of states at the Fermi level, the calculation gives 0.331 states/eV per atom.

abc: 3.3303 11.2277 11.3239
angles: 90.00 90.00 90.00
Last column: nearest neighbours and their distance in Å.
Space group Cmcm (No. 63)
Inequivalent atoms, fractional coordinates:
Tb  0.0000  0.1169  0.2500  6 N 2.52-2.69
Tm  0.0000  0.3682  0.0434  6 N 2.28-2.45
Mn  0.0000  0.1504  0.7500  4 N 1.87-1.89
N  0.0000  0.0000  0.0000  4 Tm 2.28
N  0.0000  0.2660  0.6305  1 Mn 1.87
N  0.0000  0.4286  0.2500  2 Mn 1.89


- raw formation energy of number 3 (Tb2MnN4)?
  -0.930 eV per atom